## P
CsPb4Cl8 | Alexandria via LeMat-Bulk | PBE-GGA | optimized geometry; density = 4.0 g/cm3; D(E_F) = 9.65 states/eV/cell
1.0
8.1814 0.0000 0.0000
-4.0907 7.0853 0.0000
0.0000 0.0000 17.9403
Cs Pb Cl
2 8 16
direct
0.0000 0.0000 0.0000
0.0000 0.0000 0.5000
0.0000 0.0000 0.2500
0.0000 0.0000 0.7500
0.0142 0.5071 0.2500
0.4929 0.5071 0.2500
0.4929 0.9858 0.2500
0.5071 0.0142 0.7500
0.5071 0.4929 0.7500
0.9858 0.4929 0.7500
0.1689 0.3379 0.6480
0.1689 0.3379 0.8520
0.1689 0.8311 0.6480
0.1689 0.8311 0.8520
0.3333 0.6667 0.1473
0.3333 0.6667 0.3527
0.3379 0.1689 0.1480
0.3379 0.1689 0.3520
0.6621 0.8311 0.6480
0.6621 0.8311 0.8520
0.6667 0.3333 0.6473
0.6667 0.3333 0.8527
0.8311 0.1689 0.1480
0.8311 0.1689 0.3520
0.8311 0.6621 0.1480
0.8311 0.6621 0.3520

---

## Q
CsPb4Cl8 | Alexandria via LeMat-Bulk | PBE-GGA | optimized geometry; density = 3.8 g/cm3; D(E_F) = 5.65 states/eV/cell
1.0
0.0000 6.4593 6.4593
6.4593 0.0000 6.4593
6.4593 6.4593 0.0000
Cs Pb Cl
1 4 8
direct
0.0000 0.0000 0.0000
0.1333 0.6222 0.6222
0.6222 0.1333 0.6222
0.6222 0.6222 0.1333
0.6222 0.6222 0.6222
0.3941 0.3941 0.3941
0.3941 0.3941 0.8177
0.3941 0.8177 0.3941
0.4419 0.8527 0.8527
0.8177 0.3941 0.3941
0.8527 0.4419 0.8527
0.8527 0.8527 0.4419
0.8527 0.8527 0.8527

---

Which of them is the most stable? Correct choice: Q.

---

## P
Cs2Pb2Cl5 | Alexandria via LeMat-Bulk | PBE-GGA | optimized geometry; density = 4.4 g/cm3; D(E_F) = 1.88 states/eV/cell
1.0
9.5992 0.0000 0.0000
0.0000 4.0982 4.0990
0.0000 -4.0982 4.0990
Cs Pb Cl
2 2 5
direct
0.0000 0.0000 0.0000
0.5000 0.9996 0.9996
0.1978 0.5008 0.5008
0.8022 0.5008 0.5008
0.2192 0.0007 0.5005
0.2192 0.5005 0.0007
0.5000 0.5006 0.5006
0.7808 0.0007 0.5005
0.7808 0.5005 0.0007

---

## Q
Cs2Pb2Cl5 | Alexandria via LeMat-Bulk | PBE-GGA | optimized geometry; density = 4.1 g/cm3; D(E_F) = 3.38 states/eV/cell
1.0
8.2746 -3.0337 0.0000
8.2746 3.0337 0.0000
-2.8643 0.0000 6.8771
Cs Pb Cl
2 2 5
direct
0.1001 0.1001 0.3276
0.8999 0.8999 0.6724
0.3338 0.3338 0.0778
0.6662 0.6662 0.9222
0.1312 0.1312 0.8632
0.3263 0.3263 0.4323
0.5000 0.5000 0.0000
0.6737 0.6737 0.5677
0.8688 0.8688 0.1368

---

Which of them is the most stable? Correct choice: P.